Ho2ErTm2 | PBE | relaxed Values from VASP.

The structure in Quantum ESPRESSO input format:
```
&SYSTEM
  ibrav = 0, nat = 10, ntyp = 3
/
ATOMIC_SPECIES
Ho 164.93 Ho.upf
Tm 168.93 Tm.upf
Er 167.26 Er.upf
CELL_PARAMETERS angstrom
-2.081 7.210 -5.334
-8.944 -1.267 1.777
0.259 2.200 2.873
ATOMIC_POSITIONS angstrom
Ho -3.158 1.930 1.097
Ho -7.952 2.412 1.161
Ho -7.608 6.213 -1.781
Ho -2.814 5.731 -1.845
Tm -5.856 0.113 0.442
Tm -5.169 5.830 -3.999
Tm -9.123 3.402 -1.783
Tm -1.902 2.541 -1.774
Er 0.000 0.000 0.000
Er -5.513 2.971 -1.778
```

Space-group type: No. 127
DOS at the Fermi energy (states/eV per atom): 0.799
E (eV/atom): -4.439